An optimized crystal structure of Dy8PdPt2, computed with PBE-GGA.

Output
energy of formation = -638 meV per atom
ΔE to the lowest computed polymorph = 0.00 eV/f.u.
crystal system = monoclinic
energy = -61.11 eV for the cell shown
SG = No. 12
N(E_F) = 1.075 states/eV per atom

a = 4.966 Å, b = 6.822 Å, c = 9.054 Å
α = 101.56°, β = 105.92°, γ = 90.00°
Element x y z (fractional)
Dy 0.590 0.455 0.180
Dy 0.033 0.776 0.066
Dy 0.334 0.026 0.668
Dy 0.794 0.670 0.587
Pd 0.500 0.000 0.000
Dy 0.410 0.545 0.820
Pt 0.194 0.736 0.388
Dy 0.206 0.330 0.413
Dy 0.666 0.974 0.332
Dy 0.967 0.224 0.934
Pt 0.806 0.264 0.612

An optimized crystal structure of Tb2Ce2Rh15, computed with PBE-GGA.

Output
energy of formation = -378 meV per atom
crystal system = trigonal
energy = -138.59 eV for the cell shown
SG = No. 166
N(E_F) = 1.259 states/eV per atom

a = 6.937 Å, b = 6.937 Å, c = 6.937 Å
α = 82.20°, β = 82.20°, γ = 82.20°
Element x y z (fractional)
Rh 0.685 0.315 0.000
Tb 0.109 0.109 0.109
Rh 0.000 0.685 0.315
Ce 0.360 0.360 0.360
Rh 0.651 0.166 0.651
Rh 0.834 0.349 0.349
Rh 0.000 0.315 0.685
Rh 0.349 0.349 0.834
Rh 0.000 0.500 0.000
Rh 0.651 0.651 0.166
Rh 0.315 0.000 0.685
Ce 0.640 0.640 0.640
Rh 0.349 0.834 0.349
Rh 0.500 0.000 0.000
Tb 0.891 0.891 0.891
Rh 0.315 0.685 0.000
Rh 0.166 0.651 0.651
Rh 0.000 0.000 0.500
Rh 0.685 0.000 0.315